This record from the Alexandria database describes a relaxed MnNi2Se crystal. The functional is PBE. Values from VASP.

Structure (Quantum ESPRESSO input):
```
&SYSTEM
  ibrav = 0, nat = 4, ntyp = 3
/
ATOMIC_SPECIES
Mn 54.94 Mn.upf
Ni 58.69 Ni.upf
Se 78.96 Se.upf
CELL_PARAMETERS angstrom
3.2133 0.0000 0.0000
0.0000 3.2160 0.0000
0.0000 0.0000 5.1901
ATOMIC_POSITIONS crystal
Mn 0.5000 0.5000 0.7740
Ni 0.0000 0.0000 0.0011
Ni 0.5000 0.5000 0.2512
Se 0.0000 0.0000 0.4738
```

The calculation puts the formation energy from raw total energies at 61 meV/atom.